(1)
VASP calculation (GGA-PBE) on a relaxed structure of Rb2CeY3O8.

a = 7.0154 Å, b = 7.0154 Å, c = 20.5993 Å
α = 90.00°, β = 90.00°, γ = 120.00°
Space group R3m (No. 160, hexagonal axes)
Inequivalent atoms, fractional coordinates:
Rb (0.0000, 0.0000, 0.0000) (multiplicity 3)
Rb (0.0000, 0.0000, 0.3491) (multiplicity 3)
Ce (0.0000, 0.0000, 0.8300) (multiplicity 3)
Y (0.1679, 0.3358, 0.1809) (multiplicity 9)
O (0.0000, 0.0000, 0.1305) (multiplicity 3)
O (0.0000, 0.0000, 0.5646) (multiplicity 3)
O (0.0103, 0.5052, 0.1228) (multiplicity 9)
O (0.0159, 0.5080, 0.5607) (multiplicity 9)

Computed properties:
* ΔE_f (raw): -2.812 eV/atom
* total moment: 1.16 μB per formula unit
* mass density: 4.00 g/cm3
* DFT total energy: -7.592 eV/atom
* crystal system: trigonal

---

(2)
VASP calculation (GGA-PBE) on a relaxed structure of Rb3CeZn2O6.

a = 5.629 Å, b = 11.960 Å, c = 6.508 Å
α = 90.00°, β = 101.50°, γ = 90.00°
Space group C2/m (No. 12)
Inequivalent atoms, fractional coordinates:
Rb (0.000, 0.000, 0.000) (multiplicity 2)
Rb (0.000, 0.317, 0.000) (multiplicity 4)
Ce (0.000, 0.500, 0.500) (multiplicity 2)
Zn (0.000, 0.223, 0.500) (multiplicity 4)
O (0.135, 0.500, 0.239) (multiplicity 4)
O (0.243, 0.160, 0.350) (multiplicity 8)

Computed properties:
* ΔE_f (raw): -1.700 eV/atom
* total moment: 1.10 μB per formula unit
* mass density: 4.82 g/cm3
* DFT total energy: -5.128 eV/atom
* crystal system: monoclinic

---

(3)
VASP calculation (GGA-PBE) on a relaxed structure of Rb2CeZnO4.

a = 6.205 Å, b = 6.205 Å, c = 8.405 Å
α = 90.00°, β = 90.00°, γ = 90.00°
Space group I-4 (No. 82)
Inequivalent atoms, fractional coordinates:
Rb (0.000, 0.000, 0.000) (multiplicity 2)
Rb (0.000, 0.500, 0.250) (multiplicity 2)
Ce (0.000, 0.500, 0.750) (multiplicity 2)
Zn (0.000, 0.000, 0.500) (multiplicity 2)
O (0.141, 0.757, 0.619) (multiplicity 8)

Computed properties:
* ΔE_f (raw): -2.054 eV/atom
* total moment: 0.00 μB per formula unit
* mass density: 4.52 g/cm3
* DFT total energy: -5.676 eV/atom
* crystal system: tetragonal

---

Question: Number 3 is which compound?
Answer: Rb2CeZnO4